A relaxed PuGaSn crystal, computed with PBE.

Properties
Size of the total moment (Bohr magnetons per cell): 5.6
Formation energy (kJ/mol of atoms): -28

a = 4.9070 Å, b = 4.9070 Å, c = 3.3599 Å
α = 90.00°, β = 90.00°, γ = 120.00°
Space group P-6m2 (No. 187)
Unique sites:
Pu1 0.0000 0.0000 0.0000
Ga1 0.3333 0.6667 0.5000
Sn1 0.6667 0.3333 0.5000